Record 1
Here is BeIr2Os after structural relaxation from the Alexandria database. Energies are from PBE.

Cell lengths 2.734, 3.696, 5.289 Å; angles 90.00, 90.00, 90.00 degrees
Positions (direct):
1 Be 0.000 0.000 0.000
2 Ir 0.500 0.500 0.240
3 Ir 0.500 0.500 0.760
4 Os 0.000 0.000 0.500

The value obtained for the formation energy is -0.052 eV/atom. Its total energy is -32.89 eV/cell. The volume comes out at 53 Å³/f.u. The size of the total moment is 0.00 μB/f.u.


Record 2
Here is LiCd2Ir after structural relaxation from the Alexandria database. Energies are from PBE.

Cell lengths 7.567, 7.567, 7.567 Å; angles 159.60, 145.49, 40.42 degrees
Positions (direct):
1 Li 0.000 0.000 0.000
2 Cd 0.309 0.309 0.000
3 Cd 0.691 0.691 0.000
4 Ir 0.500 0.500 0.000

The value obtained for the formation energy is 0.237 eV/atom. Its total energy is -11.66 eV/cell. The volume comes out at 85 Å³/f.u. The size of the total moment is 0.00 μB/f.u.


Record 3
Here is K3Pm3InS8 after structural relaxation from the Alexandria database. Energies are from PBE.

Cell lengths 8.883, 8.883, 8.883 Å; angles 54.76, 54.76, 54.76 degrees
Positions (direct):
1 K 0.000 0.500 0.500
2 K 0.500 0.000 0.500
3 K 0.500 0.500 0.000
4 Pm 0.000 0.000 0.500
5 Pm 0.000 0.500 0.000
6 Pm 0.500 0.000 0.000
7 In 0.500 0.500 0.500
8 S 0.235 0.235 0.235
9 S 0.247 0.726 0.726
10 S 0.274 0.274 0.753
11 S 0.274 0.753 0.274
12 S 0.726 0.247 0.726
13 S 0.726 0.726 0.247
14 S 0.753 0.274 0.274
15 S 0.765 0.765 0.765

The uncorrected formation energy is -1482 meV per atom. Its total energy is -75.53 eV/cell. The volume comes out at 435 Å³/f.u. The size of the total moment is 0.05 μB/f.u.


Record 4
Here is Nb3Ga2 after structural relaxation from the Alexandria database. Energies are from PBE.

Cell lengths 10.249, 3.560, 9.884 Å; angles 90.00, 90.00, 90.00 degrees
Positions (direct):
1 Nb 0.039 0.250 0.103
2 Nb 0.093 0.750 0.580
3 Nb 0.181 0.250 0.780
4 Nb 0.319 0.750 0.280
5 Nb 0.407 0.250 0.080
6 Nb 0.461 0.750 0.603
7 Nb 0.539 0.250 0.397
8 Nb 0.593 0.750 0.920
9 Nb 0.681 0.250 0.720
10 Nb 0.819 0.750 0.220
11 Nb 0.907 0.250 0.420
12 Nb 0.961 0.750 0.897
13 Ga 0.067 0.750 0.305
14 Ga 0.218 0.750 0.997
15 Ga 0.282 0.250 0.497
16 Ga 0.433 0.250 0.805
17 Ga 0.567 0.750 0.195
18 Ga 0.718 0.750 0.503
19 Ga 0.782 0.250 0.003
20 Ga 0.933 0.250 0.695

The value obtained for the formation energy is -0.111 eV/atom. Its total energy is -147.27 eV/cell. The volume comes out at 90 Å³/f.u. The size of the total moment is 0.00 μB/f.u.


Record 5
Here is TcBNF2 after structural relaxation from the Alexandria database. Energies are from PBE.

Cell lengths 4.424, 4.424, 2.726 Å; angles 90.00, 90.00, 90.00 degrees
Positions (direct):
1 Tc 0.000 0.000 0.000
2 B 0.500 0.500 0.500
3 N 0.500 0.500 0.000
4 F 0.000 0.500 0.500
5 F 0.500 0.000 0.500

The uncorrected formation energy is -317 meV per atom. Its total energy is -30.69 eV/cell. The volume comes out at 53 Å³/f.u. The size of the total moment is 3.91 μB/f.u.


Record 6
Here is Pr7Ag2Pt2 after structural relaxation from the Alexandria database. Energies are from PBE.

Cell lengths 7.016, 7.016, 7.418 Å; angles 90.00, 90.00, 108.21 degrees
Positions (direct):
1 Pr 0.000 0.000 0.000
2 Pr 0.000 0.500 0.262
3 Pr 0.000 0.500 0.738
4 Pr 0.500 0.000 0.262
5 Pr 0.500 0.000 0.738
6 Pr 0.500 0.500 0.253
7 Pr 0.500 0.500 0.747
8 Ag 0.173 0.173 0.500
9 Ag 0.827 0.827 0.500
10 Pt 0.288 0.712 0.000
11 Pt 0.712 0.288 0.000

The value obtained for the formation energy is -0.362 eV/atom. Its total energy is -55.22 eV/cell. The volume comes out at 347 Å³/f.u. The size of the total moment is 0.00 μB/f.u.


> What is the size of the total moment in the third record?

0.05 μB/f.u.